No. 1
Compound: In3BrCl
Source: Alexandria via LeMat-Bulk
Functional: PBE-GGA
Structure: relaxed

Calculated values
Offset from the most stable computed form   0.124 eV per atom
Energy   -2.402 eV/atom
Magnetic moment   0.00 μB per atom
Formation energy without anion corrections   -0.055 eV/atom

Unit cell a=6.0874 b=6.0874 c=6.0874 alpha=90.00 beta=90.00 gamma=90.00
Closest atoms and distances in Å follow each position.
Space group Pm-3m (No. 221)
Inequivalent atoms, fractional coordinates:
In1 0.0000 0.0000 0.5000 [3 per cell]  2 Br 3.04
Br1 0.0000 0.0000 0.0000 [1 per cell]  6 In 3.04
Cl1 0.5000 0.5000 0.5000 [1 per cell]  12 In 4.30



No. 2
Compound: K4Pr3MnSe8
Source: Alexandria via LeMat-Bulk
Functional: PBE-GGA
Structure: relaxed

Calculated values
Energy   -4.924 eV/atom
Magnetic moment   0.25 μB per atom
Formation energy without anion corrections   -1.438 eV/atom

Unit cell a=8.5510 b=8.5510 c=23.1056 alpha=90.00 beta=90.00 gamma=120.00
Closest atoms and distances in Å follow each position.
Space group R-3m (No. 166, hexagonal axes)
Inequivalent atoms, fractional coordinates:
K1 0.0000 0.0000 0.0000 [3 per cell]  6 Se 3.51
K2 0.0000 0.5000 0.0000 [9 per cell]  6 Se 3.30-3.31
Pr1 0.0000 0.5000 0.5000 [9 per cell]  6 Se 2.98-3.00
Mn1 0.0000 0.0000 0.5000 [3 per cell]  6 Se 2.76
Se1 0.0000 0.0000 0.2388 [6 per cell]  3 Pr 2.98, 3 K 3.30
Se2 0.0256 0.5128 0.2338 [18 per cell]  1 Mn 2.76, 2 Pr 3.00



No. 3
Compound: Ce2HfP
Source: Alexandria via LeMat-Bulk
Functional: PBE-GGA
Structure: relaxed

Calculated values
Energy   -6.959 eV/atom
Magnetic moment   0.43 μB per atom
Energy of formation   -0.151 eV/atom

Unit cell a=3.5216 b=3.5216 c=28.9155 alpha=90.00 beta=90.00 gamma=120.00
Closest atoms and distances in Å follow each position.
Space group R-3m (No. 166, hexagonal axes)
Inequivalent atoms, fractional coordinates:
Ce1 0.0000 0.0000 0.1028 [6 per cell]  3 P 2.75, 1 Hf 2.97
Hf1 0.0000 0.0000 0.0000 [3 per cell]  2 Ce 2.97
P1 0.0000 0.0000 0.5000 [3 per cell]  6 Ce 2.75



No. 4
Compound: Rb2ReNiI
Source: Alexandria via LeMat-Bulk
Functional: PBE-GGA
Structure: relaxed

Calculated values
Energy   -3.079 eV/atom
Magnetic moment   0.83 μB per atom
Formation energy without anion corrections   1.264 eV/atom

Unit cell a=6.9797 b=6.9797 c=4.6913 alpha=90.00 beta=90.00 gamma=90.00
Closest atoms and distances in Å follow each position.
Space group P4/mmm (No. 123)
Inequivalent atoms, fractional coordinates:
Rb1 0.0000 0.5000 0.0000 [2 per cell]  2 I 3.49
Re1 0.0000 0.0000 0.5000 [1 per cell]  8 Rb 4.20, 2 Re 4.69
Ni1 0.5000 0.5000 0.5000 [1 per cell]  2 I 2.35
I1 0.5000 0.5000 0.0000 [1 per cell]  2 Ni 2.35



No. 5
Compound: Ho2GaPt5
Source: Alexandria via LeMat-Bulk
Functional: PBE-GGA
Structure: relaxed

Calculated values
Energy   -6.310 eV/atom
Magnetic moment   0.00 μB per atom
Energy of formation   -1.011 eV/atom

Unit cell a=5.8142 b=11.6438 c=4.1693 alpha=90.00 beta=90.00 gamma=90.00
Closest atoms and distances in Å follow each position.
Space group Pbam (No. 55)
Inequivalent atoms, fractional coordinates:
Ho1 0.2015 0.1377 0.0000 [4 per cell]  10 Pt 2.85-2.94, 2 Ga 3.15
Ga1 0.0000 0.5000 0.5000 [2 per cell]  8 Pt 2.71-2.91
Pt1 0.0000 0.0000 0.5000 [2 per cell]  4 Ho 2.88, 2 Ga 2.91, 6 Pt 2.95-2.99
Pt2 0.0463 0.7481 0.5000 [4 per cell]  4 Ho 2.85-2.86, 1 Ga 2.90, 7 Pt 2.91-3.04
Pt3 0.2028 0.3902 0.0000 [4 per cell]  2 Ga 2.71, 4 Ho 2.92-2.94, 6 Pt 2.99-3.04



No. 6
Compound: Ba2TeIr
Source: Alexandria via LeMat-Bulk
Functional: PBE-GGA
Structure: relaxed

Calculated values
Energy   -4.140 eV/atom
Magnetic moment   0.25 μB per atom
Formation energy without anion corrections   -0.178 eV/atom

Unit cell a=7.1824 b=7.1824 c=15.9943 alpha=90.00 beta=90.00 gamma=90.00
Closest atoms and distances in Å follow each position.
Space group I-42d (No. 122)
Inequivalent atoms, fractional coordinates:
Ba1 0.2112 0.2500 0.1250 [8 per cell]  2 Ir 3.09, 2 Te 3.39
Te1 0.0000 0.0000 0.5000 [4 per cell]  4 Ba 3.39
Ir1 0.0000 0.0000 0.0000 [4 per cell]  4 Ba 3.09



No. 7
Compound: Nb2ZnAu
Source: Alexandria via LeMat-Bulk
Functional: PBE-GGA
Structure: relaxed

Calculated values
Energy   -6.241 eV/atom
Magnetic moment   0.00 μB per atom
Energy of formation   -0.068 eV/atom

Unit cell a=5.5224 b=4.4508 c=5.7581 alpha=90.00 beta=104.42 gamma=90.00
Closest atoms and distances in Å follow each position.
Space group P2_1/m (No. 11)
Inequivalent atoms, fractional coordinates:
Nb1 0.1313 0.2500 0.2194 [2 per cell]  3 Zn 2.69-2.74, 3 Nb 2.81-2.86, 1 Au 2.91
Nb2 0.3692 0.7500 0.0761 [2 per cell]  3 Zn 2.71-3.02, 5 Nb 2.81-2.90, 2 Au 2.87-2.90
Zn1 0.1293 0.2500 0.7426 [2 per cell]  4 Nb 2.69-2.74, 3 Au 2.73-2.79
Au1 0.3324 0.7500 0.5695 [2 per cell]  3 Zn 2.73-2.79, 5 Nb 2.87-3.02



No. 8
Compound: HfTlIn2
Source: Alexandria via LeMat-Bulk
Functional: PBE-GGA
Structure: relaxed

Calculated values
Offset from the most stable computed form   0.219 eV per atom
Energy   -4.152 eV/atom
Magnetic moment   0.00 μB per atom
Energy of formation   0.297 eV/atom

Unit cell a=4.7439 b=4.7439 c=16.9246 alpha=90.00 beta=90.00 gamma=120.00
Closest atoms and distances in Å follow each position.
Space group R3m (No. 160, hexagonal axes)
Inequivalent atoms, fractional coordinates:
Hf1 0.0000 0.0000 0.0000 [3 per cell]  6 In 2.93-3.01, 1 Tl 3.04
Tl1 0.0000 0.0000 0.1799 [3 per cell]  1 Hf 3.04, 6 In 3.14-3.28
In1 0.0000 0.0000 0.4068 [3 per cell]  3 Hf 3.01, 3 Tl 3.28, 1 In 3.34
In2 0.0000 0.0000 0.6044 [3 per cell]  3 Hf 2.93, 3 Tl 3.14



No. 9
Compound: BaU4Se8
Source: Alexandria via LeMat-Bulk
Functional: PBE-GGA
Structure: relaxed

Calculated values
Offset from the most stable computed form   0.063 eV per atom
Energy   -6.983 eV/atom
Magnetic moment   0.77 μB per atom
Formation energy without anion corrections   -1.218 eV/atom

Unit cell a=12.2474 b=12.2474 c=12.2474 alpha=90.00 beta=90.00 gamma=90.00
Closest atoms and distances in Å follow each position.
Space group F-43m (No. 216)
Inequivalent atoms, fractional coordinates:
Ba1 0.0000 0.0000 0.0000 [4 per cell]  4 Se 3.06
U1 0.1208 0.1208 0.6208 [16 per cell]  6 Se 2.87-2.91
Se1 0.1129 0.1129 0.3871 [16 per cell]  3 U 2.87
Se2 0.1441 0.1441 0.8559 [16 per cell]  3 U 2.91, 1 Ba 3.06



No. 10
Compound: IrS3I
Source: Alexandria via LeMat-Bulk
Functional: PBE-GGA
Structure: relaxed

Calculated values
Offset from the most stable computed form   0.000 eV per atom
Energy   -4.036 eV/atom
Magnetic moment   0.00 μB per atom
Formation energy without anion corrections   0.523 eV/atom

Unit cell a=4.6996 b=4.6996 c=4.6996 alpha=90.00 beta=90.00 gamma=90.00
Closest atoms and distances in Å follow each position.
Space group Pm-3m (No. 221)
Inequivalent atoms, fractional coordinates:
Ir1 0.0000 0.0000 0.0000 [1 per cell]  6 S 2.35
S1 0.0000 0.0000 0.5000 [3 per cell]  2 Ir 2.35
I1 0.5000 0.5000 0.5000 [1 per cell]  12 S 3.32



No. 11
Compound: Tb3Te
Source: Alexandria via LeMat-Bulk
Functional: PBE-GGA
Structure: relaxed

Calculated values
Offset from the most stable computed form   0.287 eV per atom
Energy   -4.621 eV/atom
Magnetic moment   0.24 μB per atom
Formation energy without anion corrections   -0.363 eV/atom

Unit cell a=3.7869 b=3.7885 c=9.4013 alpha=90.00 beta=90.00 gamma=90.00
Closest atoms and distances in Å follow each position.
Space group Pmm2 (No. 25)
Inequivalent atoms, fractional coordinates:
Tb1 0.0000 0.0000 0.0000 [1 per cell]  10 Tb 3.55-3.79
Tb2 0.0000 0.5000 0.3213 [1 per cell]  4 Te 3.09
Tb3 0.5000 0.5000 0.7516 [1 per cell]  2 Te 3.15
Te1 0.5000 0.0000 0.4841 [1 per cell]  6 Tb 3.09-3.15



No. 12
Compound: Ce4GaPt
Source: Alexandria via LeMat-Bulk
Functional: PBE-GGA
Structure: relaxed

Calculated values
Offset from the most stable computed form   0.000 eV per atom
Energy   -5.942 eV/atom
Magnetic moment   0.04 μB per atom
Energy of formation   -0.475 eV/atom

Unit cell a=7.1529 b=7.1529 c=5.6993 alpha=90.00 beta=90.00 gamma=90.00
Closest atoms and distances in Å follow each position.
Space group P4/mcc (No. 124)
Inequivalent atoms, fractional coordinates:
Ce1 0.1385 0.3523 0.0000 [8 per cell]  1 Ce 2.90, 2 Pt 3.06, 2 Ga 3.14
Ga1 0.5000 0.5000 0.2500 [2 per cell]  2 Ga 2.85, 8 Ce 3.14
Pt1 0.0000 0.0000 0.2500 [2 per cell]  2 Pt 2.85, 8 Ce 3.06